No. 1
CsCuBi2 after structural relaxation, computed with PBE.

Summary:
The formation energy comes out at 493 meV per atom. The value obtained for the total energy is -10.7 eV/cell. The calculation puts the total magnetic moment at 0.00 μB/cell. The density of states at the Fermi level comes out at 2.60 states/eV per cell. The relative energy among the computed polymorphs is 190.6 kJ/mol of formula units. Its space group is No. 225.

Unit cell a=5.6256 b=5.6256 c=5.6256 alpha=60.00 beta=60.00 gamma=60.00
Fractional coordinates of all 4 atoms:
Bi 0.2500 0.2500 0.2500
Bi 0.7500 0.7500 0.7500
Cu 0.0000 0.0000 0.0000
Cs 0.5000 0.5000 0.5000


No. 2
Pu3Tl3CdSe8 after structural relaxation, computed with PBE.

Summary:
The value obtained for the formation energy (no corrections) is -0.942 eV per atom. The value obtained for the total energy is -93.0 eV/cell. The calculation puts the total magnetic moment at 13.00 μB/cell. The density of states at the Fermi level comes out at 28.21 states/eV per cell. Its space group is No. 166.

Unit cell a=8.3016 b=8.3031 c=9.1174 alpha=117.10 beta=90.00 gamma=119.99
Each line ends with the local moment (μB).
Fractional coordinates of all 15 atoms:
Pu 0.5000 0.5000 0.5000  4.85
Pu 0.0000 0.5000 0.5000  4.85
Pu 0.5000 0.0000 0.5000  4.85
Cd 0.0000 0.0000 0.5000  -0.01
Tl 0.0000 0.0000 0.0000  -0.02
Tl 0.5000 0.5000 0.0000  -0.02
Tl 0.0000 0.5000 0.0000  -0.02
Se 0.2653 0.5306 0.2960  -0.13
Se 0.2728 0.0353 0.2978  -0.16
Se 0.7347 0.4694 0.7040  -0.13
Se 0.7625 0.0353 0.2978  -0.16
Se 0.2375 0.9647 0.7022  -0.16
Se 0.7623 0.5247 0.2978  -0.16
Se 0.2377 0.4753 0.7022  -0.16
Se 0.7272 0.9647 0.7022  -0.16


No. 3
YNi6Pd6 after structural relaxation, computed with PBE.

Summary:
The formation energy comes out at -233 meV per atom. The value obtained for the total energy is -75.3 eV/cell. The calculation puts the total magnetic moment at 4.72 μB/cell. The density of states at the Fermi level comes out at 16.43 states/eV per cell. Its space group is No. 71.

Unit cell a=4.9372 b=6.6073 c=6.6073 alpha=83.21 beta=68.06 gamma=68.06
Each line ends with the local moment (μB).
Fractional coordinates of all 13 atoms:
Ni 0.5000 0.0000 0.5000  0.69
Ni 0.0000 0.5000 0.0000  0.69
Ni 0.5000 0.2370 0.7630  0.70
Ni 0.5000 0.7630 0.2370  0.70
Ni 0.5000 0.5000 0.0000  0.69
Ni 0.0000 0.0000 0.5000  0.69
Pd 0.3438 0.6562 0.6562  0.14
Pd 0.6893 0.8107 0.8107  0.15
Pd 0.0000 0.3455 0.6545  0.14
Pd 0.0000 0.6545 0.3455  0.14
Pd 0.3107 0.1893 0.1893  0.15
Pd 0.6562 0.3438 0.3438  0.14
Y 0.0000 0.0000 0.0000  -0.05


No. 4
LiLaHg2Bi after structural relaxation, computed with PBE.

Summary:
The formation energy comes out at 637 meV per atom. The value obtained for the total energy is -8.1 eV/cell. The calculation puts the total magnetic moment at 0.85 μB/cell. The density of states at the Fermi level comes out at 4.90 states/eV per cell. The relative energy among the computed polymorphs is 496.0 kJ/mol of formula units. Its space group is No. 123.

Unit cell a=5.8317 b=5.7784 c=5.8317 alpha=90.00 beta=90.00 gamma=90.00
Each line ends with the local moment (μB).
Fractional coordinates of all 5 atoms:
Hg 0.0000 0.0000 0.5000  0.00
Hg 0.5000 0.0000 0.0000  0.04
Bi 0.5000 0.5000 0.5000  -0.26
La 0.0000 0.0000 0.0000  0.42
Li 0.0000 0.5000 0.0000  0.11


No. 5
AlZnMo after structural relaxation, computed with PBE.

Summary:
The formation energy comes out at -36 meV per atom. The value obtained for the total energy is -16.0 eV/cell. The calculation puts the total magnetic moment at 0.00 μB/cell. The density of states at the Fermi level comes out at 1.76 states/eV per cell. The relative energy among the computed polymorphs is 0.0 kJ/mol of formula units. Its space group is No. 187.

Unit cell a=4.3460 b=4.3460 c=2.7373 alpha=90.00 beta=90.00 gamma=120.00
Fractional coordinates of all 3 atoms:
Zn 0.6667 0.3333 0.8336
Al 0.0000 0.0000 0.8330
Mo 0.3333 0.6667 0.3333


No. 6
CeDy2YN4 after structural relaxation, computed with PBE.

Summary:
The value obtained for the formation energy (no corrections) is -1.649 eV per atom. The value obtained for the total energy is -68.1 eV/cell. The calculation puts the total magnetic moment at 0.12 μB/cell. The density of states at the Fermi level comes out at 3.36 states/eV per cell. Its space group is No. 10.

Unit cell a=3.5006 b=6.0468 c=6.0473 alpha=109.31 beta=90.00 gamma=90.00
Each line ends with the local moment (μB).
Fractional coordinates of all 8 atoms:
Y 0.5000 0.5000 0.0000  0.00
Dy 0.0000 0.5000 0.5000  0.00
Dy 0.5000 0.0000 0.5000  0.00
Ce 0.0000 0.0000 0.0000  0.10
N 0.0000 0.7524 0.2489  0.00
N 0.0000 0.2476 0.7511  0.00
N 0.5000 0.2496 0.2503  0.00
N 0.5000 0.7504 0.7497  0.00


No. 7
ZnTc2F2 after structural relaxation, computed with PBE.

Summary:
The value obtained for the formation energy (no corrections) is -0.119 eV per atom. The value obtained for the total energy is -52.7 eV/cell. The calculation puts the total magnetic moment at 0.00 μB/cell. The density of states at the Fermi level comes out at 7.19 states/eV per cell. The relative energy among the computed polymorphs is 183.8 kJ/mol of formula units. Its space group is No. 127.

Unit cell a=7.9404 b=7.9404 c=2.5692 alpha=90.00 beta=90.00 gamma=90.00
Fractional coordinates of all 10 atoms:
F 0.2507 0.2493 0.5000
F 0.7507 0.2507 0.5000
F 0.7493 0.7507 0.5000
F 0.2493 0.7493 0.5000
Tc 0.8985 0.6015 0.0000
Tc 0.6015 0.1015 0.0000
Tc 0.3985 0.8985 0.0000
Tc 0.1015 0.3985 0.0000
Zn 0.0000 0.0000 0.0000
Zn 0.5000 0.5000 0.0000


No. 8
Ce4HoMg after structural relaxation, computed with PBE.

Summary:
The formation energy comes out at 240 meV per atom. The value obtained for the total energy is -28.5 eV/cell. The calculation puts the total magnetic moment at 2.85 μB/cell. The density of states at the Fermi level comes out at 16.28 states/eV per cell. Its space group is No. 216.

Unit cell a=6.2549 b=6.2549 c=6.2549 alpha=60.00 beta=60.00 gamma=60.00
Each line ends with the local moment (μB).
Fractional coordinates of all 6 atoms:
Ho 0.2500 0.2500 0.2500  0.04
Mg 0.0000 0.0000 0.0000  0.00
Ce 0.6339 0.6339 0.6339  0.57
Ce 0.0982 0.6339 0.6339  0.57
Ce 0.6339 0.6339 0.0982  0.57
Ce 0.6339 0.0982 0.6339  0.57


No. 9
Na2Cr2WS6 after structural relaxation, computed with PBE.

Summary:
The value obtained for the formation energy (no corrections) is -0.731 eV per atom. The value obtained for the total energy is -67.6 eV/cell. The calculation puts the total magnetic moment at 2.01 μB/cell. The density of states at the Fermi level comes out at 1.65 states/eV per cell. Its space group is No. 12.

Unit cell a=5.7801 b=5.7801 c=7.2289 alpha=96.67 beta=96.67 gamma=120.03
Each line ends with the local moment (μB).
Fractional coordinates of all 11 atoms:
S 0.5985 0.9474 0.3067  -0.03
S 0.2749 0.2749 0.2819  -0.01
S 0.0526 0.4015 0.6933  -0.03
S 0.4015 0.0526 0.6933  -0.03
S 0.9474 0.5985 0.3067  -0.03
S 0.7251 0.7251 0.7181  -0.01
Cr 0.3585 0.6415 0.5000  1.55
Cr 0.6415 0.3585 0.5000  1.55
Na 0.1715 0.8285 0.0000  0.00
Na 0.8285 0.1715 0.0000  0.00
W 0.0000 0.0000 0.5000  -0.89


No. 10
Li2CoSn4 after structural relaxation, computed with PBE.

Summary:
The formation energy comes out at -81 meV per atom. The value obtained for the total energy is -27.5 eV/cell. The calculation puts the total magnetic moment at 0.00 μB/cell. The density of states at the Fermi level comes out at 2.38 states/eV per cell. The relative energy among the computed polymorphs is 0.0 kJ/mol of formula units. Its space group is No. 65.

Unit cell a=4.3643 b=4.5249 c=8.3186 alpha=105.78 beta=90.00 gamma=90.00
Fractional coordinates of all 7 atoms:
Sn 0.0000 0.0936 0.1872
Sn 0.0000 0.9064 0.8128
Sn 0.5000 0.4010 0.8020
Sn 0.5000 0.5990 0.1980
Li 0.5000 0.2115 0.4229
Li 0.5000 0.7885 0.5771
Co 0.0000 0.5000 0.0000


No. 11
Sb3PS after structural relaxation, computed with PBE.

Summary:
The value obtained for the formation energy (no corrections) is 0.811 eV per atom. The value obtained for the total energy is -17.8 eV/cell. The calculation puts the total magnetic moment at 0.00 μB/cell. The density of states at the Fermi level comes out at 7.72 states/eV per cell. The relative energy among the computed polymorphs is 0.0 kJ/mol of formula units. Its space group is No. 221.

Unit cell a=5.1903 b=5.1903 c=5.1903 alpha=90.00 beta=90.00 gamma=90.00
Fractional coordinates of all 5 atoms:
S 0.5000 0.5000 0.5000
P 0.0000 0.0000 0.0000
Sb 0.0000 0.0000 0.5000
Sb 0.0000 0.5000 0.0000
Sb 0.5000 0.0000 0.0000


No. 12
Be3VAu after structural relaxation, computed with PBE.

Summary:
The formation energy comes out at 1387 meV per atom. The value obtained for the total energy is -16.6 eV/cell. The calculation puts the total magnetic moment at 0.00 μB/cell. The density of states at the Fermi level comes out at 2.14 states/eV per cell. The relative energy among the computed polymorphs is 311.9 kJ/mol of formula units. Its space group is No. 221.

Unit cell a=4.1446 b=4.1446 c=4.1446 alpha=90.00 beta=90.00 gamma=90.00
Fractional coordinates of all 5 atoms:
Be 0.0000 0.0000 0.5000
Be 0.0000 0.5000 0.0000
Be 0.5000 0.0000 0.0000
Au 0.5000 0.5000 0.5000
V 0.0000 0.0000 0.0000


Question: Number 9 is which compound?
Answer: Na2Cr2WS6